1.
A relaxed structure of KMnAsAu, computed with PBE.

Values from the calculation:
DFT formation energy, meV per atom: -287
SG: P4/nmm
Electronic total energy, eV per atom: -4.84
Total magnetization, μB per cell: 3.813
DOS(E_F), states/eV per cell: 4.62

Cell lengths 3.8797, 3.8797, 12.5307 Å; angles 90.00, 90.00, 90.00 degrees
With the nearest neighbours (Å) after each atom.
Element x y z (fractional)
K1 0.2500 0.2500 0.2276  4 As 3.40, 4 Au 3.45
K2 0.7500 0.7500 0.7724  4 As 3.40, 4 Au 3.45
Mn1 0.2500 0.7500 0.5000  4 As 2.40
Mn2 0.7500 0.2500 0.5000  4 As 2.40
As1 0.2500 0.2500 0.6128  4 Mn 2.40
As2 0.7500 0.7500 0.3872  4 Mn 2.40
Au1 0.2500 0.7500 0.0000  4 Au 2.74
Au2 0.7500 0.2500 0.0000  4 Au 2.74



2.
A relaxed structure of Cd2TeH, computed with PBE.

Values from the calculation:
Offset from the most stable computed form, meV per atom: 0
SG: I-42d
Electronic total energy, eV per atom: -2.01
Total magnetization, μB per cell: 0.000
DOS(E_F), states/eV per cell: 1.28

Cell lengths 7.7945, 7.7945, 7.7945 Å; angles 140.74, 140.74, 56.74 degrees
With the nearest neighbours (Å) after each atom.
Element x y z (fractional)
Cd1 0.0067 0.6250 0.8817  2 H 2.26
Cd2 0.3750 0.2567 0.3817  2 H 2.26
Cd3 0.7433 0.1250 0.1183  2 H 2.26
Cd4 0.8750 0.9933 0.6183  2 H 2.26
Te1 0.2500 0.7500 0.5000  4 Cd 2.89
Te2 0.5000 0.5000 0.0000  4 Cd 2.89
H1 0.0000 0.0000 0.0000  4 Cd 2.26
H2 0.7500 0.2500 0.5000  4 Cd 2.26



3.
A relaxed structure of YTa2Mn, computed with PBE.

Values from the calculation:
Offset from the most stable computed form, meV per atom: 365
DFT formation energy, meV per atom: 566
SG: Cmmm
Electronic total energy, eV per atom: -9.27
Total magnetization, μB per cell: 2.953
DOS(E_F), states/eV per cell: 5.64

Cell lengths 5.6276, 5.6276, 2.8731 Å; angles 90.00, 90.00, 119.81 degrees
With the nearest neighbours (Å) after each atom.
Element x y z (fractional)
Y1 0.0000 0.0000 0.0000  2 Mn 2.82, 2 Y 2.87, 8 Ta 3.16
Ta1 0.0000 0.5000 0.5000  4 Ta 2.82-2.87, 4 Mn 3.16, 4 Y 3.16
Ta2 0.5000 0.0000 0.5000  4 Ta 2.82-2.87, 4 Mn 3.16, 4 Y 3.16
Mn1 0.5000 0.5000 0.0000  2 Y 2.82, 2 Mn 2.87, 8 Ta 3.16



4.
A relaxed structure of Zn2FeNi, computed with PBE.

Values from the calculation:
DFT formation energy, meV per atom: -34
SG: Pmm2
Electronic total energy, eV per atom: -4.23
Total magnetization, μB per cell: 2.929
DOS(E_F), states/eV per cell: 1.99

Cell lengths 2.6643, 3.4713, 5.4814 Å; angles 90.00, 90.00, 90.00 degrees
With the nearest neighbours (Å) after each atom.
Element x y z (fractional)
Zn1 0.0000 0.0000 0.0000  4 Ni 2.57, 1 Fe 2.58, 6 Zn 2.66
Zn2 0.5000 0.5000 0.2763  4 Fe 2.59, 2 Ni 2.61-2.87, 6 Zn 2.66
Fe1 0.0000 0.0000 0.5295  4 Ni 2.51, 5 Zn 2.58-2.59, 2 Fe 2.66
Ni1 0.5000 0.5000 0.7524  4 Fe 2.51, 5 Zn 2.57-2.61, 2 Ni 2.66



5.
A relaxed structure of Na4RhO4, computed with PBE.

Values from the calculation:
SG: I-42m
Electronic total energy, eV per atom: -4.63
Total magnetization, μB per cell: 2.996

Cell lengths 6.0465, 6.0465, 6.0465 Å; angles 120.33, 120.33, 89.42 degrees
With the nearest neighbours (Å) after each atom.
Element x y z (fractional)
Na1 0.0000 0.5000 0.5000  4 O 2.18
Na2 0.1670 0.1670 0.0000  2 O 2.55
Na3 0.5000 0.0000 0.5000  4 O 2.18
Na4 0.8330 0.8330 0.0000  2 O 2.55
Rh1 0.5000 0.5000 0.0000  4 O 1.95
O1 0.2255 0.6732 0.0000  1 Rh 1.95, 2 Na 2.18
O2 0.3268 0.3268 0.5523  1 Rh 1.95, 2 Na 2.18
O3 0.6732 0.2255 0.0000  1 Rh 1.95, 2 Na 2.18
O4 0.7745 0.7745 0.4477  1 Rh 1.95, 2 Na 2.18



6.
A relaxed structure of ScZnGaAu, computed with PBE.

Values from the calculation:
DFT formation energy, meV per atom: -463
SG: Cm
Electronic total energy, eV per atom: -3.94
Total magnetization, μB per cell: 0.000
DOS(E_F), states/eV per cell: 1.27

Cell lengths 4.5941, 4.5941, 4.6677 Å; angles 120.24, 120.24, 61.01 degrees
With the nearest neighbours (Å) after each atom.
Element x y z (fractional)
Sc1 0.0000 0.0000 0.0000  4 Zn 2.83-2.84, 4 Au 2.83-2.84
Zn1 0.2498 0.2498 0.7488  4 Ga 2.82-2.85, 4 Sc 2.83-2.84
Ga1 0.5000 0.5000 0.5002  4 Zn 2.82-2.85, 4 Au 2.82-2.84
Au1 0.7501 0.7501 0.2512  4 Ga 2.82-2.84, 4 Sc 2.83-2.84



7.
A relaxed structure of CeTh, computed with PBE.

Values from the calculation:
Offset from the most stable computed form, meV per atom: 421
DFT formation energy, meV per atom: 442
SG: I-4m2
Electronic total energy, eV per atom: -6.23
Total magnetization, μB per cell: 0.001
DOS(E_F), states/eV per cell: 5.68

Cell lengths 4.4804, 4.4804, 4.4804 Å; angles 98.83, 98.83, 133.85 degrees
With the nearest neighbours (Å) after each atom.
Element x y z (fractional)
Ce1 0.0000 0.0000 0.0000  4 Th 3.04
Th1 0.2500 0.7500 0.5000  4 Ce 3.04



8.
A relaxed structure of YMnOs4, computed with PBE.

Values from the calculation:
DFT formation energy, meV per atom: 150
SG: F-43m
Electronic total energy, eV per atom: -9.94
Total magnetization, μB per cell: 3.274
DOS(E_F), states/eV per cell: 7.18

Cell lengths 5.2559, 5.2559, 5.2559 Å; angles 60.00, 60.00, 60.00 degrees
With the nearest neighbours (Å) after each atom.
Element x y z (fractional)
Y1 0.0000 0.0000 0.0000  12 Os 3.08, 4 Mn 3.22
Mn1 0.7500 0.7500 0.7500  12 Os 3.08, 4 Y 3.22
Os1 0.3755 0.3755 0.3755  6 Os 2.62-2.64
Os2 0.3755 0.3755 0.8734  6 Os 2.62-2.64
Os3 0.3755 0.8734 0.3755  6 Os 2.62-2.64
Os4 0.8734 0.3755 0.3755  6 Os 2.62-2.64



9.
A relaxed structure of LaHoIn2Se4, computed with PBE.

Values from the calculation:
SG: P2/m
Electronic total energy, eV per atom: -4.94
Total magnetization, μB per cell: 0.000

Cell lengths 7.3921, 4.2598, 8.0880 Å; angles 90.00, 107.63, 90.00 degrees
With the nearest neighbours (Å) after each atom.
Element x y z (fractional)
La1 0.0000 0.0000 0.0000  6 Se 3.00-3.01
Ho1 0.5000 0.5000 0.0000  6 Se 2.88-2.91
In1 0.0000 0.5000 0.5000  6 Se 3.37
In2 0.5000 0.0000 0.5000  6 Se 3.27
Se1 0.2505 0.5000 0.2138  1 Ho 2.88, 2 La 3.00
Se2 0.2755 0.0000 0.7912  2 Ho 2.91, 1 La 3.01
Se3 0.7245 0.0000 0.2088  2 Ho 2.91, 1 La 3.01
Se4 0.7495 0.5000 0.7862  1 Ho 2.88, 2 La 3.00



10.
A relaxed structure of PmDy6Y3Th2, computed with PBE.

Values from the calculation:
DFT formation energy, meV per atom: 30
SG: C2/m
Electronic total energy, eV per atom: -5.52
Total magnetization, μB per cell: 0.000
DOS(E_F), states/eV per cell: 17.45

Cell lengths 6.1872, 6.1872, 11.7941 Å; angles 95.03, 95.03, 119.96 degrees
With the nearest neighbours (Å) after each atom.
Element x y z (fractional)
Pm1 0.0000 0.0000 0.0000  6 Dy 3.56, 6 Th 3.57
Dy1 0.0832 0.4210 0.2476  2 Th 3.53, 6 Dy 3.55-3.62, 1 Pm 3.56, 3 Y 3.57-3.60
Dy2 0.2548 0.2548 0.7522  2 Th 3.53, 6 Dy 3.55-3.62, 1 Pm 3.56, 3 Y 3.57-3.59
Dy3 0.4210 0.0832 0.2476  2 Th 3.53, 6 Dy 3.55-3.62, 1 Pm 3.56, 3 Y 3.57-3.60
Dy4 0.5790 0.9168 0.7524  2 Th 3.53, 6 Dy 3.55-3.62, 1 Pm 3.56, 3 Y 3.57-3.60
Dy5 0.7452 0.7452 0.2478  2 Th 3.53, 6 Dy 3.55-3.62, 1 Pm 3.56, 3 Y 3.57-3.59
Dy6 0.9168 0.5790 0.7524  2 Th 3.53, 6 Dy 3.55-3.62, 1 Pm 3.56, 3 Y 3.57-3.60
Y1 0.1664 0.8336 0.5000  6 Y 3.56-3.58, 6 Dy 3.57-3.60
Y2 0.5000 0.5000 0.5000  6 Dy 3.57-3.59, 6 Y 3.57
Y3 0.8336 0.1664 0.5000  6 Y 3.56-3.58, 6 Dy 3.57-3.60
Th1 0.3333 0.6667 0.0000  6 Dy 3.53, 3 Pm 3.57, 3 Th 3.57
Th2 0.6667 0.3333 0.0000  6 Dy 3.53, 3 Pm 3.57, 3 Th 3.57



11.
A relaxed structure of ScFeAgSn2, computed with PBE.

Values from the calculation:
DFT formation energy, meV per atom: 685
SG: P4/mmm
Electronic total energy, eV per atom: -4.45
Total magnetization, μB per cell: 2.807
DOS(E_F), states/eV per cell: 4.57

Cell lengths 5.1808, 5.1808, 4.8574 Å; angles 90.00, 90.00, 90.00 degrees
With the nearest neighbours (Å) after each atom.
Element x y z (fractional)
Sc1 0.0000 0.0000 0.0000  8 Sn 3.55, 4 Fe 3.66
Fe1 0.5000 0.5000 0.0000  2 Ag 2.43
Ag1 0.5000 0.5000 0.5000  2 Fe 2.43, 4 Sn 2.59
Sn1 0.0000 0.5000 0.5000  2 Ag 2.59
Sn2 0.5000 0.0000 0.5000  2 Ag 2.59



12.
A relaxed structure of Sm6HC2Br3, computed with PBE.

Values from the calculation:
SG: C2/m
Electronic total energy, eV per atom: -5.41
Total magnetization, μB per cell: 0.000
DOS(E_F), states/eV per cell: 5.85

Cell lengths 6.5415, 6.5415, 7.6105 Å; angles 98.34, 98.34, 119.90 degrees
With the nearest neighbours (Å) after each atom.
Element x y z (fractional)
Sm1 0.0897 0.4386 0.8149  2 C 2.53, 1 H 2.65
Sm2 0.2120 0.2120 0.1865  2 C 2.52, 1 H 2.67
Sm3 0.4386 0.0897 0.8149  2 C 2.53, 1 H 2.65
Sm4 0.5614 0.9103 0.1851  2 C 2.53, 1 H 2.65
Sm5 0.7880 0.7880 0.8135  2 C 2.52, 1 H 2.67
Sm6 0.9103 0.5614 0.1851  2 C 2.53, 1 H 2.65
H1 0.5000 0.5000 0.0000  6 Sm 2.65-2.67
C1 0.1659 0.8341 0.0000  6 Sm 2.52-2.53
C2 0.8341 0.1659 0.0000  6 Sm 2.52-2.53
Br1 0.0000 0.0000 0.5000  6 Sm 3.09-3.20
Br2 0.3322 0.6678 0.5000  6 Sm 3.09-3.21
Br3 0.6678 0.3322 0.5000  6 Sm 3.09-3.21



13.
A relaxed structure of BaAsRu4, computed with PBE.

Values from the calculation:
DFT formation energy, meV per atom: 704
SG: F-43m
Electronic total energy, eV per atom: -6.57
Total magnetization, μB per cell: 3.503
DOS(E_F), states/eV per cell: 9.65

Cell lengths 5.4165, 5.4165, 5.4165 Å; angles 60.00, 60.00, 60.00 degrees
With the nearest neighbours (Å) after each atom.
Element x y z (fractional)
Ba1 0.0000 0.0000 0.0000  12 Ru 3.18, 4 As 3.32
As1 0.2500 0.2500 0.2500  12 Ru 3.17, 4 Ba 3.32
Ru1 0.1317 0.6228 0.6228  6 Ru 2.66-2.76
Ru2 0.6228 0.1317 0.6228  6 Ru 2.66-2.76
Ru3 0.6228 0.6228 0.1317  6 Ru 2.66-2.76
Ru4 0.6228 0.6228 0.6228  6 Ru 2.66-2.76



14.
A relaxed structure of YPIr2, computed with PBE.

Values from the calculation:
DFT formation energy, meV per atom: -644
SG: Pmmm
Electronic total energy, eV per atom: -8.04
Total magnetization, μB per cell: 0.000
DOS(E_F), states/eV per cell: 3.04

Cell lengths 3.5919, 4.1390, 5.4675 Å; angles 90.00, 90.00, 90.00 degrees
With the nearest neighbours (Å) after each atom.
Element x y z (fractional)
Y1 0.0000 0.0000 0.0000  8 Ir 3.05
P1 0.0000 0.5000 0.5000  4 Ir 2.28
Ir1 0.5000 0.5000 0.2436  2 P 2.28
Ir2 0.5000 0.5000 0.7564  2 P 2.28



15.
A relaxed structure of Th3GePt12, computed with PBE.

Values from the calculation:
DFT formation energy, meV per atom: -873
SG: P4/mmm
Electronic total energy, eV per atom: -7.08
Total magnetization, μB per cell: 0.000
DOS(E_F), states/eV per cell: 1.91

Cell lengths 4.2118, 4.2118, 16.4284 Å; angles 90.00, 90.00, 90.00 degrees
With the nearest neighbours (Å) after each atom.
Element x y z (fractional)
Th1 0.0000 0.0000 0.0000  12 Pt 2.98-2.99
Th2 0.0000 0.0000 0.2599  12 Pt 2.97-3.01
Th3 0.0000 0.0000 0.7401  12 Pt 2.97-3.01
Ge1 0.0000 0.0000 0.5000  12 Pt 2.80-2.98
Pt1 0.0000 0.5000 0.1291  8 Pt 2.98-3.00, 4 Th 2.99-3.01
Pt2 0.0000 0.5000 0.3876  8 Pt 2.80-2.98, 2 Ge 2.80, 2 Th 2.97
Pt3 0.0000 0.5000 0.6124  8 Pt 2.80-2.98, 2 Ge 2.80, 2 Th 2.97
Pt4 0.0000 0.5000 0.8709  8 Pt 2.98-3.00, 4 Th 2.99-3.01
Pt5 0.5000 0.0000 0.1291  8 Pt 2.98-3.00, 4 Th 2.99-3.01
Pt6 0.5000 0.0000 0.3876  8 Pt 2.80-2.98, 2 Ge 2.80, 2 Th 2.97
Pt7 0.5000 0.0000 0.6124  8 Pt 2.80-2.98, 2 Ge 2.80, 2 Th 2.97
Pt8 0.5000 0.0000 0.8709  8 Pt 2.98-3.00, 4 Th 2.99-3.01
Pt9 0.5000 0.5000 0.0000  4 Th 2.98, 8 Pt 2.99
Pt10 0.5000 0.5000 0.2590  4 Th 2.98, 8 Pt 2.98-3.00
Pt11 0.5000 0.5000 0.5000  8 Pt 2.80, 4 Ge 2.98
Pt12 0.5000 0.5000 0.7410  4 Th 2.98, 8 Pt 2.98-3.00



16.
A relaxed structure of BeCr2As, computed with PBE.

Values from the calculation:
Offset from the most stable computed form, meV per atom: 252
DFT formation energy, meV per atom: 256
SG: C2/m
Electronic total energy, eV per atom: -6.65
Total magnetization, μB per cell: 0.010
DOS(E_F), states/eV per cell: 3.68

Cell lengths 4.5145, 4.5145, 2.6451 Å; angles 100.18, 100.18, 112.33 degrees
With the nearest neighbours (Å) after each atom.
Element x y z (fractional)
Be1 0.0000 0.0000 0.0000  4 Cr 2.41, 2 As 2.51, 2 Be 2.65
Cr1 0.0000 0.5000 0.5000  2 As 2.41, 2 Be 2.41, 4 Cr 2.51-2.65
Cr2 0.5000 0.0000 0.5000  2 As 2.41, 2 Be 2.41, 4 Cr 2.51-2.65
As1 0.5000 0.5000 0.0000  4 Cr 2.41, 2 Be 2.51, 2 As 2.65



17.
A relaxed structure of PrCu2Pt5, computed with PBE.

Values from the calculation:
DFT formation energy, meV per atom: -374
SG: Immm
Electronic total energy, eV per atom: -5.77
Total magnetization, μB per cell: 0.000
DOS(E_F), states/eV per cell: 4.73

Cell lengths 6.3727, 6.3727, 6.3727 Å; angles 144.78, 108.09, 82.67 degrees
With the nearest neighbours (Å) after each atom.
Element x y z (fractional)
Pr1 0.0000 0.0000 0.0000  4 Cu 2.97
Cu1 0.2363 0.7363 0.5000  7 Pt 2.47-2.63
Cu2 0.7637 0.2637 0.5000  7 Pt 2.47-2.63
Pt1 0.1622 0.3513 0.8109  3 Cu 2.47-2.63
Pt2 0.4596 0.6487 0.8109  3 Cu 2.47-2.63
Pt3 0.5000 0.0000 0.5000  2 Cu 2.52, 8 Pt 2.78
Pt4 0.5404 0.3513 0.1891  3 Cu 2.47-2.63
Pt5 0.8378 0.6487 0.1891  3 Cu 2.47-2.63



18.
A relaxed structure of K2PCl5, computed with PBE.

Values from the calculation:
SG: I4mm
Electronic total energy, eV per atom: -3.36
Total magnetization, μB per cell: 0.000
DOS(E_F), states/eV per cell: 0.00

Cell lengths 6.8058, 6.8058, 6.8058 Å; angles 114.04, 114.04, 100.68 degrees
With the nearest neighbours (Å) after each atom.
Element x y z (fractional)
K1 0.0000 0.5000 0.5000  10 Cl 3.40-3.71
K2 0.5000 0.0000 0.5000  10 Cl 3.40-3.71
P1 0.2561 0.2561 0.0000  1 Cl 2.08
Cl1 0.0170 0.0170 0.5361  1 P 2.43
Cl2 0.0170 0.4810 0.0000  1 P 2.43
Cl3 0.4810 0.0170 0.0000  1 P 2.43
Cl4 0.4810 0.4810 0.4639  1 P 2.43
Cl5 0.4952 0.4952 0.0000  1 P 2.08



19.
A relaxed structure of Hf2AlHg2, computed with PBE.

Values from the calculation:
Offset from the most stable computed form, meV per atom: 144
DFT formation energy, meV per atom: 180
SG: P4/mbm
Electronic total energy, eV per atom: -4.67
Total magnetization, μB per cell: 0.000
DOS(E_F), states/eV per cell: 10.48

Cell lengths 7.3514, 7.3514, 4.1372 Å; angles 90.00, 90.00, 90.00 degrees
With the nearest neighbours (Å) after each atom.
Element x y z (fractional)
Hf1 0.1537 0.3463 0.0000  2 Al 2.79, 6 Hg 2.91-3.04
Hf2 0.3463 0.8463 0.0000  2 Al 2.79, 6 Hg 2.91-3.04
Hf3 0.6537 0.1537 0.0000  2 Al 2.79, 6 Hg 2.91-3.04
Hf4 0.8463 0.6537 0.0000  2 Al 2.79, 6 Hg 2.91-3.04
Al1 0.0000 0.0000 0.0000  4 Hf 2.79
Al2 0.5000 0.5000 0.0000  4 Hf 2.79
Hg1 0.1501 0.6501 0.5000  6 Hf 2.91-3.04, 1 Hg 3.12
Hg2 0.3499 0.1501 0.5000  6 Hf 2.91-3.04, 1 Hg 3.12
Hg3 0.6501 0.8499 0.5000  6 Hf 2.91-3.04, 1 Hg 3.12
Hg4 0.8499 0.3499 0.5000  6 Hf 2.91-3.04, 1 Hg 3.12



20.
A relaxed structure of TmHfGaHg, computed with PBE.

Values from the calculation:
DFT formation energy, meV per atom: -271
SG: F-43m
Electronic total energy, eV per atom: -4.71
Total magnetization, μB per cell: 0.000
DOS(E_F), states/eV per cell: 3.15

Cell lengths 4.9571, 4.9571, 4.9571 Å; angles 60.00, 60.00, 60.00 degrees
With the nearest neighbours (Å) after each atom.
Element x y z (fractional)
Tm1 0.0000 0.0000 0.0000  4 Ga 3.04, 4 Hg 3.04
Hf1 0.5000 0.5000 0.5000  4 Hg 3.04, 4 Ga 3.04
Ga1 0.7500 0.7500 0.7500  4 Tm 3.04, 4 Hf 3.04
Hg1 0.2500 0.2500 0.2500  4 Hf 3.04, 4 Tm 3.04